(1)
Tm3Zn3Ga: optimized geometry, PBE.

Properties
uncorrected energy = -3.29 eV per atom

Cell lengths 3.5262, 4.4271, 19.0143 Å; angles 90.00, 90.00, 90.00 degrees
Space group Imm2 (No. 44)
Asymmetric unit:
Tm 0.0000 0.0000 0.0000 x2
Tm 0.0000 0.0000 0.3888 x2
Tm 0.0000 0.5000 0.1937 x2
Zn 0.0000 0.0000 0.5540 x2
Zn 0.0000 0.0000 0.8354 x2
Zn 0.0000 0.5000 0.6262 x2
Ga 0.0000 0.5000 0.7597 x2


(2)
Tm3ZnGa4: optimized geometry, PBE.

Properties
uncorrected energy = -3.69 eV per atom

Cell lengths 3.5096, 6.1842, 16.4361 Å; angles 90.00, 90.00, 90.00 degrees
Space group Immm (No. 71)
Asymmetric unit:
Tm 0.0000 0.0000 0.0000 x2
Tm 0.0000 0.5000 0.2177 x4
Zn 0.0000 0.0000 0.5000 x2
Ga 0.0000 0.2796 0.3789 x8


(3)
TmZn2Ga: optimized geometry, PBE.

Properties
uncorrected energy = -2.85 eV per atom

Cell lengths 4.1427, 4.1427, 4.3469 Å; angles 90.00, 90.00, 90.00 degrees
Space group P4/mmm (No. 123)
Asymmetric unit:
Tm 0.0000 0.0000 0.0000 x1
Zn 0.0000 0.5000 0.5000 x2
Ga 0.5000 0.5000 0.0000 x1


(4)
Tm5ZnGa2: optimized geometry, PBE.

Properties
uncorrected energy = -3.87 eV per atom
offset from the most stable computed form = 234.2 meV per atom

Cell lengths 5.2229, 10.4319, 15.1911 Å; angles 90.00, 90.00, 90.00 degrees
Space group Cmcm (No. 63)
Asymmetric unit:
Tm 0.0000 0.0808 0.0967 x8
Tm 0.0000 0.3531 0.7500 x4
Tm 0.0000 0.3865 0.0710 x8
Zn 0.0000 0.2930 0.2500 x4
Ga 0.0000 0.2246 0.5851 x8


(5)
Tm3Zn2Ga7: optimized geometry, PBE.

Properties
uncorrected energy = -3.54 eV per atom

Cell lengths 4.1569, 27.1376, 4.0675 Å; angles 90.00, 90.00, 90.00 degrees
Space group Cmmm (No. 65)
Asymmetric unit:
Tm 0.0000 0.0000 0.0000 x2
Tm 0.0000 0.1774 0.0000 x4
Zn 0.0000 0.3599 0.5000 x4
Ga 0.0000 0.0836 0.5000 x4
Ga 0.0000 0.2723 0.5000 x4
Ga 0.0000 0.4179 0.0000 x4
Ga 0.0000 0.5000 0.5000 x2


(6)
TmZn12Ga6: optimized geometry, PBE.

Properties
uncorrected energy = -1.94 eV per atom

Cell lengths 11.4301, 11.4301, 9.0909 Å; angles 90.00, 90.00, 120.00 degrees
Space group R-3m (No. 166, hexagonal axes)
Asymmetric unit:
Tm 0.0000 0.0000 0.0000 x3
Zn 0.0000 0.3924 0.5000 x18
Zn 0.0790 0.1581 0.2828 x18
Ga 0.0580 0.5290 0.2304 x18


(7)
Tm3Zn4Ga4: optimized geometry, PBE.

Properties
uncorrected energy = -3.24 eV per atom
offset from the most stable computed form = 37.7 meV per atom

Cell lengths 3.6387, 4.3302, 13.5017 Å; angles 99.15, 97.72, 90.02 degrees
Space group P-1 (No. 2)
Asymmetric unit:
Tm 0.0000 0.0000 0.0000 x1
Tm 0.1441 0.6432 0.2877 x2
Zn 0.2570 0.2583 0.5141 x2
Zn 0.4061 0.9066 0.8123 x2
Ga 0.3122 0.8140 0.6250 x2
Ga 0.4515 0.4519 0.9036 x2


(8)
Tm2ZnGa9: optimized geometry, PBE.

Properties
uncorrected energy = -3.43 eV per atom

Cell lengths 4.2434, 4.2434, 12.4176 Å; angles 90.00, 90.00, 90.00 degrees
Space group P4/mmm (No. 123)
Asymmetric unit:
Tm 0.0000 0.0000 0.1712 x2
Zn 0.0000 0.0000 0.5000 x1
Ga 0.0000 0.5000 0.0000 x2
Ga 0.0000 0.5000 0.3477 x4
Ga 0.5000 0.5000 0.1651 x2
Ga 0.5000 0.5000 0.5000 x1


(9)
Tm3ZnGa2: optimized geometry, PBE.

Properties
uncorrected energy = -3.97 eV per atom
offset from the most stable computed form = 0.0 meV per atom

Cell lengths 4.9816, 4.9816, 12.1672 Å; angles 90.00, 90.00, 120.00 degrees
Space group P-3m1 (No. 164)
Asymmetric unit:
Tm 0.0000 0.0000 0.2500 x2
Tm 0.3333 0.6667 0.4174 x2
Tm 0.3333 0.6667 0.9179 x2
Zn 0.3333 0.6667 0.1682 x2
Ga 0.0000 0.0000 0.0000 x1
Ga 0.0000 0.0000 0.5000 x1
Ga 0.3333 0.6667 0.6721 x2


(10)
TmZrZnGa: optimized geometry, PBE.

Properties
uncorrected energy = -4.73 eV per atom

Cell lengths 6.8446, 6.8446, 6.8446 Å; angles 90.00, 90.00, 90.00 degrees
Space group F-43m (No. 216)
Asymmetric unit:
Tm 0.0000 0.0000 0.0000 x4
Zr 0.0000 0.0000 0.5000 x4
Zn 0.2500 0.2500 0.2500 x4
Ga 0.2500 0.2500 0.7500 x4


(11)
TmZrGa: optimized geometry, PBE.

Properties
uncorrected energy = -5.43 eV per atom
offset from the most stable computed form = 362.2 meV per atom

Cell lengths 3.3244, 3.3295, 14.8743 Å; angles 83.67, 83.70, 60.21 degrees
Space group P-1 (No. 2)
Asymmetric unit:
Tm 0.1296 0.1328 0.1058 x2
Zr 0.2610 0.2594 0.7189 x2
Ga 0.3557 0.3535 0.4340 x2


(12)
TmZr2Ga: optimized geometry, PBE.

Properties
uncorrected energy = -6.40 eV per atom
offset from the most stable computed form = 54.7 meV per atom

Cell lengths 4.4396, 4.4396, 4.4338 Å; angles 90.00, 90.00, 90.00 degrees
Space group P4/mmm (No. 123)
Asymmetric unit:
Tm 0.0000 0.0000 0.0000 x1
Zr 0.0000 0.5000 0.5000 x2
Ga 0.5000 0.5000 0.0000 x1


(13)
TmZr2Ga: optimized geometry, PBE.

Properties
uncorrected energy = -6.34 eV per atom
offset from the most stable computed form = 117.5 meV per atom

Cell lengths 3.2242, 3.2242, 8.6931 Å; angles 90.00, 90.00, 90.00 degrees
Space group P4/mmm (No. 123)
Asymmetric unit:
Tm 0.0000 0.0000 0.0000 x1
Zr 0.5000 0.5000 0.2841 x2
Ga 0.0000 0.0000 0.5000 x1


(14)
TmZr2Ga: optimized geometry, PBE.

Properties
uncorrected energy = -6.03 eV per atom
offset from the most stable computed form = 424.4 meV per atom

Cell lengths 3.1301, 3.1301, 33.1353 Å; angles 90.00, 90.00, 120.00 degrees
Space group R-3m (No. 166, hexagonal axes)
Asymmetric unit:
Tm 0.0000 0.0000 0.0000 x3
Zr 0.0000 0.0000 0.0952 x6
Ga 0.0000 0.0000 0.5000 x3


(15)
TmZrGa: optimized geometry, PBE.

Properties
uncorrected energy = -5.79 eV per atom
offset from the most stable computed form = 0.0 meV per atom

Cell lengths 4.2168, 4.2168, 7.8349 Å; angles 90.00, 90.00, 90.00 degrees
Space group P4/nmm (No. 129, origin choice 2)
Asymmetric unit:
Tm 0.2500 0.2500 0.1511 x2
Zr 0.2500 0.7500 0.5000 x2
Ga 0.2500 0.2500 0.7639 x2


(16)
TmZrGa: optimized geometry, PBE.

Properties
uncorrected energy = -5.53 eV per atom
offset from the most stable computed form = 257.6 meV per atom

Cell lengths 4.8163, 4.8163, 3.4692 Å; angles 90.00, 90.00, 120.00 degrees
Space group P3m1 (No. 156)
Asymmetric unit:
Tm 0.0000 0.0000 0.0000 x1
Zr 0.3333 0.6667 0.5220 x1
Ga 0.6667 0.3333 0.4040 x1


(17)
TmZrGa3: optimized geometry, PBE.

Properties
uncorrected energy = -5.01 eV per atom

Cell lengths 3.9520, 25.0591, 4.0412 Å; angles 90.00, 90.00, 90.00 degrees
Space group Cmcm (No. 63)
Asymmetric unit:
Tm 0.0000 0.0755 0.2500 x4
Zr 0.0000 0.2067 0.7500 x4
Ga 0.0000 0.3182 0.7500 x4
Ga 0.0000 0.3773 0.2500 x4
Ga 0.0000 0.4745 0.2500 x4


(18)
TmZr2Ga6: optimized geometry, PBE.

Properties
uncorrected energy = -4.92 eV per atom
offset from the most stable computed form = 0.0 meV per atom

Cell lengths 7.2063, 7.2063, 3.7331 Å; angles 90.00, 90.00, 120.00 degrees
Space group P6/mmm (No. 191)
Asymmetric unit:
Tm 0.0000 0.0000 0.0000 x1
Zr 0.3333 0.6667 0.0000 x2
Ga 0.0000 0.3352 0.5000 x6


(19)
TmZr2Ga9: optimized geometry, PBE.

Properties
uncorrected energy = -4.55 eV per atom

Cell lengths 4.1785, 4.1785, 12.4107 Å; angles 90.00, 90.00, 90.00 degrees
Space group P4/mmm (No. 123)
Asymmetric unit:
Tm 0.0000 0.0000 0.0000 x1
Zr 0.0000 0.0000 0.3380 x2
Ga 0.0000 0.5000 0.1719 x4
Ga 0.0000 0.5000 0.5000 x2
Ga 0.5000 0.5000 0.0000 x1
Ga 0.5000 0.5000 0.3344 x2


(20)
TmZrGa: optimized geometry, PBE.

Properties
uncorrected energy = -5.68 eV per atom
offset from the most stable computed form = 107.6 meV per atom

Cell lengths 3.3151, 3.3151, 12.3378 Å; angles 90.00, 90.00, 90.00 degrees
Space group I4mm (No. 107)
Asymmetric unit:
Tm 0.0000 0.0000 0.0000 x2
Zr 0.0000 0.0000 0.3100 x2
Ga 0.0000 0.0000 0.6628 x2


(21)
Tm2Zr3Ga4: optimized geometry, PBE.

Properties
uncorrected energy = -5.75 eV per atom
offset from the most stable computed form = 0.0 meV per atom

Cell lengths 7.4969, 7.5286, 7.2005 Å; angles 90.00, 107.86, 90.00 degrees
Space group P2_1/c (No. 14)
Asymmetric unit:
Tm 0.1905 0.1734 0.0696 x4
Zr 0.2476 0.6807 0.2476 x4
Zr 0.5000 0.0000 0.5000 x2
Ga 0.0798 0.5347 0.8621 x4
Ga 0.4910 0.1245 0.8707 x4


(22)
TmZr2Ga3: optimized geometry, PBE.

Properties
uncorrected energy = -5.59 eV per atom

Cell lengths 14.8357, 5.7710, 5.7662 Å; angles 90.00, 100.25, 90.00 degrees
Space group C2/c (No. 15)
Asymmetric unit:
Tm 0.0000 0.1365 0.2500 x4
Zr 0.1699 0.3778 0.5995 x8
Ga 0.0000 0.3693 0.7500 x4
Ga 0.1695 0.1215 0.0516 x8


(23)
TmZr2Ga6: optimized geometry, PBE.

Properties
uncorrected energy = -4.83 eV per atom
offset from the most stable computed form = 91.5 meV per atom

Cell lengths 4.1449, 6.6800, 13.0318 Å; angles 90.00, 90.00, 90.00 degrees
Space group Immm (No. 71)
Asymmetric unit:
Tm 0.0000 0.0000 0.0000 x2
Zr 0.0000 0.5000 0.1194 x4
Ga 0.0000 0.1911 0.5000 x4
Ga 0.0000 0.2974 0.3104 x8